[1]
The following is a GGA-PBE calculation of ScAlHg after structural relaxation, from the Alexandria database.

The polymorph energy (0 for the lowest one) is 0.66 eV/f.u.

Cell: 4.8686 4.8686 5.9391 Å, 90.00 90.00 120.00°
Space group P6_3/mmc (No. 194)
Symmetry-distinct sites (fractional):
Sc1 0.3333 0.6667 0.2500 (multiplicity 2)
Al1 0.3333 0.6667 0.7500 (multiplicity 2)
Hg1 0.0000 0.0000 0.0000 (multiplicity 2)



[2]
The following is a GGA-PBE calculation of ScAlHg2 after structural relaxation, from the Alexandria database.

Cell: 3.3222 3.3222 27.9875 Å, 90.00 90.00 120.00°
Space group R3m (No. 160, hexagonal axes)
Symmetry-distinct sites (fractional):
Sc1 0.0000 0.0000 0.0000 (multiplicity 3)
Al1 0.0000 0.0000 0.7473 (multiplicity 3)
Hg1 0.0000 0.0000 0.2498 (multiplicity 3)
Hg2 0.0000 0.0000 0.4925 (multiplicity 3)



[3]
The following is a GGA-PBE calculation of ScAlHg after structural relaxation, from the Alexandria database.

The polymorph energy (0 for the lowest one) is 0.26 eV/f.u.

Cell: 4.552 4.065 7.012 Å, 90.00 108.69 90.00°
Space group P2_1/m (No. 11)
Symmetry-distinct sites (fractional):
Sc1 0.089 0.250 0.179 (multiplicity 2)
Al1 0.435 0.250 0.867 (multiplicity 2)
Hg1 0.267 0.750 0.533 (multiplicity 2)



[4]
The following is a GGA-PBE calculation of Sc4AlHg after structural relaxation, from the Alexandria database.

The polymorph energy (0 for the lowest one) is 0.00 eV/f.u.

Cell: 13.191 3.221 6.419 Å, 90.00 104.13 90.00°
Space group C2/m (No. 12)
Symmetry-distinct sites (fractional):
Sc1 0.157 0.000 0.333 (multiplicity 4)
Sc2 0.158 0.000 0.825 (multiplicity 4)
Al1 0.000 0.500 0.500 (multiplicity 2)
Hg1 0.000 0.500 0.000 (multiplicity 2)



[5]
The following is a GGA-PBE calculation of ScAlHg after structural relaxation, from the Alexandria database.

The polymorph energy (0 for the lowest one) is 0.41 eV/f.u.

Cell: 6.193 4.399 8.956 Å, 90.00 90.00 90.00°
Space group Pnma (No. 62)
Symmetry-distinct sites (fractional):
Sc1 0.142 0.250 0.084 (multiplicity 4)
Al1 0.133 0.250 0.424 (multiplicity 4)
Hg1 0.071 0.250 0.742 (multiplicity 4)



[6]
The following is a GGA-PBE calculation of Sc2AlHg after structural relaxation, from the Alexandria database.

Cell: 9.416 3.342 5.733 Å, 90.00 102.14 90.00°
Space group C2/m (No. 12)
Symmetry-distinct sites (fractional):
Sc1 0.248 0.000 0.241 (multiplicity 4)
Al1 0.000 0.500 0.000 (multiplicity 2)
Hg1 0.000 0.000 0.500 (multiplicity 2)



[7]
The following is a GGA-PBE calculation of ScAlHg after structural relaxation, from the Alexandria database.

The polymorph energy (0 for the lowest one) is 0.30 eV/f.u.

Cell: 6.454 6.454 6.454 Å, 90.00 90.00 90.00°
Space group F-43m (No. 216)
Symmetry-distinct sites (fractional):
Sc1 0.000 0.000 0.000 (multiplicity 4)
Al1 0.000 0.000 0.500 (multiplicity 4)
Hg1 0.250 0.250 0.250 (multiplicity 4)



[8]
The following is a GGA-PBE calculation of ScAlHg after structural relaxation, from the Alexandria database.

The polymorph energy (0 for the lowest one) is 0.42 eV/f.u.

Cell: 3.163 3.163 12.099 Å, 90.00 90.00 90.00°
Space group I4mm (No. 107)
Symmetry-distinct sites (fractional):
Sc1 0.000 0.000 0.000 (multiplicity 2)
Al1 0.000 0.000 0.658 (multiplicity 2)
Hg1 0.000 0.000 0.322 (multiplicity 2)



no.,ΔE_f (eV/atom),Fermi-level density of states (states/eV/f.u.)
1,-0.1685,1.43
2,-0.0438,3.00
3,-0.3004,1.44
4,-0.2737,7.59
5,-0.2496,1.89
6,-0.2424,2.57
7,-0.2861,0.63
8,-0.2481,1.11